Entry from Alexandria: a geometry-optimized Cs2As4Pd3O14 structure (PBEsol).

Cell: 16.2233 16.2233 6.0192 Å, 90.00 90.00 90.00°
Element x y z (fractional)
Cs: 0.0143 0.6678 0.0275
Cs: 0.1678 0.9857 0.9725
Cs: 0.3322 0.5143 0.9725
Cs: 0.4857 0.8322 0.0275
Cs: 0.5143 0.1678 0.9725
Cs: 0.6678 0.4857 0.0275
Cs: 0.8322 0.0143 0.0275
Cs: 0.9857 0.3322 0.9725
As: 0.0930 0.8219 0.4974
As: 0.0997 0.1674 0.4166
As: 0.1674 0.4003 0.4166
As: 0.1781 0.5930 0.5026
As: 0.3219 0.9070 0.5026
As: 0.3326 0.0997 0.4166
As: 0.4003 0.3326 0.4166
As: 0.4070 0.6781 0.4974
As: 0.5930 0.3219 0.5026
As: 0.5997 0.6674 0.5834
As: 0.6674 0.9003 0.5834
As: 0.6781 0.0930 0.4974
As: 0.8219 0.4070 0.4974
As: 0.8326 0.5997 0.5834
As: 0.9003 0.8326 0.5834
As: 0.9070 0.1781 0.5026
Pd: 0.0000 0.0000 0.5000
Pd: 0.0000 0.5000 0.5000
Pd: 0.2500 0.2500 0.1851
Pd: 0.2500 0.2500 0.6499
Pd: 0.2500 0.7500 0.2595
Pd: 0.2500 0.7500 0.7405
Pd: 0.5000 0.0000 0.5000
Pd: 0.5000 0.5000 0.5000
Pd: 0.7500 0.2500 0.2595
Pd: 0.7500 0.2500 0.7405
Pd: 0.7500 0.7500 0.3501
Pd: 0.7500 0.7500 0.8149
O: 0.0097 0.2153 0.5318
O: 0.0638 0.0766 0.3078
O: 0.0727 0.5982 0.5000
O: 0.0766 0.4362 0.3078
O: 0.0982 0.9273 0.5000
O: 0.1274 0.2300 0.1995
O: 0.1293 0.7817 0.7413
O: 0.1316 0.7832 0.2546
O: 0.1580 0.3340 0.6368
O: 0.1660 0.1580 0.6368
O: 0.2153 0.4903 0.5318
O: 0.2168 0.6316 0.7454
O: 0.2183 0.6293 0.2587
O: 0.2300 0.3726 0.1995
O: 0.2700 0.1274 0.1995
O: 0.2817 0.8707 0.2587
O: 0.2832 0.8684 0.7454
O: 0.2847 0.0097 0.5318
O: 0.3340 0.3420 0.6368
O: 0.3420 0.1660 0.6368
O: 0.3684 0.7168 0.2546
O: 0.3707 0.7183 0.7413
O: 0.3726 0.2700 0.1995
O: 0.4018 0.5727 0.5000
O: 0.4234 0.0638 0.3078
O: 0.4273 0.9018 0.5000
O: 0.4362 0.4234 0.3078
O: 0.4903 0.2847 0.5318
O: 0.5097 0.7153 0.4682
O: 0.5638 0.5766 0.6922
O: 0.5727 0.0982 0.5000
O: 0.5766 0.9362 0.6922
O: 0.5982 0.4273 0.5000
O: 0.6274 0.7300 0.8005
O: 0.6293 0.2817 0.2587
O: 0.6316 0.2832 0.7454
O: 0.6580 0.8340 0.3631
O: 0.6660 0.6580 0.3631
O: 0.7153 0.9903 0.4682
O: 0.7168 0.1316 0.2546
O: 0.7183 0.1293 0.7413
O: 0.7300 0.8726 0.8005
O: 0.7700 0.6274 0.8005
O: 0.7817 0.3707 0.7413
O: 0.7832 0.3684 0.2546
O: 0.7847 0.5097 0.4682
O: 0.8340 0.8420 0.3631
O: 0.8420 0.6660 0.3631
O: 0.8684 0.2168 0.7454
O: 0.8707 0.2183 0.2587
O: 0.8726 0.7700 0.8005
O: 0.9018 0.0727 0.5000
O: 0.9234 0.5638 0.6922
O: 0.9273 0.4018 0.5000
O: 0.9362 0.9234 0.6922
O: 0.9903 0.7847 0.4682

Output
ΔE_f (raw) = -1.1259 eV/atom